Na3Er3CrS8: relaxed, PBE.

Properties
ΔE_f (raw): -1.522 eV/atom
Mass density: 4.23 g cm⁻³
E_tot: -5.54 eV/atom

a b c (Å): 7.656 7.655 8.108
angles (deg): 118.19 90.00 120.00
Fractional positions:
Na 0.000 0.000 0.000
Na 0.000 0.500 0.000
Na 0.500 0.500 0.000
Er 0.500 0.000 0.500
Er 0.500 0.500 0.500
Er 0.000 0.500 0.500
Cr 0.000 0.000 0.500
S 0.258 0.515 0.273
S 0.742 0.485 0.727
S 0.779 0.558 0.292
S 0.221 0.442 0.708
S 0.779 0.013 0.292
S 0.221 0.987 0.708
S 0.234 0.013 0.292
S 0.766 0.987 0.708

---

Na3ErCr2S6: relaxed, PBE.

Properties
ΔE_f (raw): -1.215 eV/atom
Mass density: 3.78 g cm⁻³
E_tot: -5.59 eV/atom

a b c (Å): 6.383 6.383 6.971
angles (deg): 98.86 98.86 120.02
Fractional positions:
Na 0.162 0.838 0.500
Na 0.838 0.162 0.500
Na 0.500 0.500 0.500
Er 0.000 0.000 0.000
Cr 0.333 0.667 0.000
Cr 0.667 0.333 0.000
S 0.930 0.569 0.792
S 0.709 0.709 0.208
S 0.070 0.431 0.208
S 0.569 0.930 0.792
S 0.291 0.291 0.792
S 0.431 0.070 0.208

---

Na4Er3CrS8: relaxed, PBE.

Properties
ΔE_f (raw): -1.585 eV/atom
Mass density: 4.36 g cm⁻³
E_tot: -5.44 eV/atom

a b c (Å): 7.716 8.020 7.716
angles (deg): 118.77 120.00 90.00
Fractional positions:
Na 0.500 0.000 0.000
Na 0.500 0.000 0.500
Na 0.000 0.000 0.000
Na 0.000 0.000 0.500
Er 0.500 0.500 0.000
Er 0.500 0.500 0.500
Er 0.000 0.500 0.500
Cr 0.000 0.500 0.000
S 0.228 0.716 0.988
S 0.228 0.716 0.456
S 0.257 0.272 0.515
S 0.760 0.716 0.988
S 0.240 0.284 0.012
S 0.743 0.728 0.485
S 0.772 0.284 0.544
S 0.772 0.284 0.012

---

Na2ErCrSe4: relaxed, PBE.

Properties
ΔE_f (raw): -1.207 eV/atom
Mass density: 5.14 g cm⁻³
E_tot: -5.05 eV/atom

a b c (Å): 3.959 6.792 7.351
angles (deg): 108.26 90.00 90.00
Fractional positions:
Na 0.500 0.000 0.500
Na 0.000 0.500 0.500
Er 0.000 0.000 0.000
Cr 0.500 0.500 0.000
Se 0.500 0.261 0.222
Se 0.500 0.739 0.778
Se 0.000 0.287 0.792
Se 0.000 0.713 0.208

---

Na4Er3CrSe8: relaxed, PBE.

Properties
ΔE_f (raw): -1.443 eV/atom
Mass density: 5.39 g cm⁻³
E_tot: -4.97 eV/atom

a b c (Å): 8.057 8.403 8.057
angles (deg): 118.67 120.00 90.00
Fractional positions:
Na 0.500 0.000 0.000
Na 0.500 0.000 0.500
Na 0.000 0.000 0.000
Na 0.000 0.000 0.500
Er 0.500 0.500 0.000
Er 0.500 0.500 0.500
Er 0.000 0.500 0.500
Cr 0.000 0.500 0.000
Se 0.229 0.719 0.990
Se 0.229 0.719 0.459
Se 0.257 0.270 0.513
Se 0.760 0.719 0.990
Se 0.240 0.281 0.010
Se 0.743 0.730 0.487
Se 0.771 0.281 0.541
Se 0.771 0.281 0.010